1.
First-principles (PBE) data for crystalline LiNiMoAs at its relaxed geometry, as listed in the Open Quantum Materials Database.

The space group is F-43m (No. 216) and the conventional cell measures 6.015, 6.015 and 6.015 Å, with angles of 90.00, 90.00 and 90.00 degrees. The asymmetric unit holds Li at (0.000, 0.000, 0.000), Ni at (0.000, 0.000, 0.500), Mo at (0.250, 0.250, 0.750) and As at (0.250, 0.250, 0.250).

The energy comes out at -5.463 eV per atom. Its volume is 13.60 Å³/atom.

=====

2.
First-principles (PBE) data for crystalline LiNiMoAs at its relaxed geometry, as listed in the Open Quantum Materials Database.

The space group is F-43m (No. 216) and the conventional cell measures 5.906, 5.906 and 5.906 Å, with angles of 90.00, 90.00 and 90.00 degrees. The asymmetric unit holds Li at (0.000, 0.000, 0.000), Ni at (0.250, 0.250, 0.750), Mo at (0.250, 0.250, 0.250) and As at (0.000, 0.000, 0.500).

The energy comes out at -5.731 eV per atom. Its volume is 12.88 Å³/atom.

=====

3.
First-principles (PBE) data for crystalline LiTeMoAs at its relaxed geometry, as listed in the Open Quantum Materials Database.

The space group is F-43m (No. 216) and the conventional cell measures 6.566, 6.566 and 6.566 Å, with angles of 90.00, 90.00 and 90.00 degrees. The asymmetric unit holds Li at (0.000, 0.000, 0.000), Te at (0.250, 0.250, 0.250), Mo at (0.000, 0.000, 0.500) and As at (0.250, 0.250, 0.750).

The energy comes out at -5.149 eV per atom. Its volume is 17.69 Å³/atom.

=====

What is the volume in the first record?
13.60 Å³/atom

=====

The highest energy belongs to which entry?
LiTeMoAs